The following is a PBE with a Hubbard U calculation of a geometry-optimized AlCr2O4 structure, from Alexandria.

The structure in POSCAR format:
```
AlCr2O4
1.0
5.3780 0.0000 0.0000
-0.5096 5.4476 0.0000
-1.7545 -1.0139 5.2784
Al Cr O
2 4 8
Direct
0.0911 0.2997 0.4214
0.9089 0.7003 0.5786
0.0000 0.5000 0.0000
0.5000 0.0000 0.0000
0.5000 0.0000 0.5000
0.5000 0.5000 0.0000
0.1516 0.6418 0.3946
0.2163 0.7200 0.8688
0.2955 0.1636 0.2337
0.3225 0.1898 0.7103
0.6775 0.8102 0.2897
0.7045 0.8364 0.7663
0.7837 0.2800 0.1312
0.8484 0.3582 0.6054
```

Summary:
As for the density: 4.187 Mg/m³. As for the space group: P-1. The density of states at the Fermi level comes out at 0.21 states/eV/cell. Its crystal system is triclinic. Its distance to the lowest polymorph of the same formula is 196 meV per atom.